Entry 1:
Density functional theory data (PBE) for crystalline Al6Co5Pt at its relaxed geometry.

Its total energy is -5.99 eV/atom. Its space-group type is Cmmm. Its calculated formation energy is -652 meV per atom. The calculation puts the total magnetic moment at 0.145 μB per atom. The value obtained for the density of states at the Fermi level is 0.569 states/eV/atom. The crystal system is orthorhombic.

a = 6.485 Å, b = 6.485 Å, c = 5.800 Å
α = 90.00°, β = 90.00°, γ = 143.19°
Positions (direct):
Al: 0.000 0.000 0.236
Al: 0.000 0.000 0.764
Al: 0.328 0.672 0.244
Al: 0.328 0.672 0.756
Al: 0.672 0.328 0.244
Al: 0.672 0.328 0.756
Co: 0.165 0.835 0.000
Co: 0.166 0.834 0.500
Co: 0.500 0.500 0.000
Co: 0.834 0.166 0.500
Co: 0.835 0.165 0.000
Pt: 0.500 0.500 0.500

---

Entry 2:
Density functional theory data (PBE) for crystalline AlCo2Pt at its relaxed geometry.

Its total energy is -6.33 eV/atom. Its space-group type is Cm. Its calculated formation energy is -332 meV per atom. The calculation puts the total magnetic moment at 0.663 μB per atom. The value obtained for the density of states at the Fermi level is 1.213 states/eV/atom. The crystal system is monoclinic.

a = 4.466 Å, b = 4.466 Å, c = 4.517 Å
α = 101.50°, β = 101.50°, γ = 35.65°
Positions (direct):
Al: 0.000 0.000 0.000
Co: 0.251 0.251 0.725
Co: 0.509 0.509 0.535
Pt: 0.752 0.752 0.236